! KZn2 (GGA-PBEsol, relaxed); values from VASP
&SYSTEM
  ibrav = 0, nat = 6, ntyp = 2
/
ATOMIC_SPECIES
Zn 65.41 Zn.upf
K 39.10 K.upf
ATOMIC_POSITIONS crystal
Zn 0.750 0.141 0.535
Zn 0.250 0.859 0.465
Zn 0.750 0.606 0.465
Zn 0.250 0.394 0.535
K 0.750 0.760 0.000
K 0.250 0.240 0.000
CELL_PARAMETERS angstrom
4.393 0.000 0.000
0.000 5.230 0.000
0.000 -2.615 6.064
! calculated volume = 23.2 A^3/atom
! calculated formation energy = 0.059 eV per atom
! theoretical density = 4.051 Mg/m³

---

! KZn2 (GGA-PBEsol, relaxed); values from VASP
&SYSTEM
  ibrav = 0, nat = 3, ntyp = 2
/
ATOMIC_SPECIES
K 39.10 K.upf
Zn 65.41 Zn.upf
ATOMIC_POSITIONS crystal
K 0.000 0.000 0.000
Zn 0.279 0.279 0.558
Zn 0.721 0.721 0.442
CELL_PARAMETERS angstrom
-2.807 0.681 1.904
-1.609 -2.875 -1.344
4.418 -2.217 4.164
! calculated volume = 24.5 A^3/atom
! calculated formation energy = 0.174 eV per atom
! theoretical density = 3.840 Mg/m³

---

! K4ZrZn (GGA-PBEsol, relaxed); values from VASP
&SYSTEM
  ibrav = 0, nat = 6, ntyp = 3
/
ATOMIC_SPECIES
K 39.10 K.upf
Zn 65.41 Zn.upf
Zr 91.22 Zr.upf
ATOMIC_POSITIONS crystal
K 0.375 0.375 0.375
K 0.375 0.375 0.875
K 0.875 0.375 0.375
K 0.375 0.875 0.375
Zn 0.750 0.750 0.750
Zr 0.000 0.000 0.000
CELL_PARAMETERS angstrom
-5.336 0.936 -4.617
-2.128 -5.399 -4.121
-6.301 -3.099 1.167
! calculated volume = 42.5 A^3/atom
! calculated formation energy = 1.002 eV per atom
! theoretical density = 2.038 Mg/m³

---

! KZr2Zn (GGA-PBEsol, relaxed); values from VASP
&SYSTEM
  ibrav = 0, nat = 4, ntyp = 3
/
ATOMIC_SPECIES
K 39.10 K.upf
Zn 65.41 Zn.upf
Zr 91.22 Zr.upf
ATOMIC_POSITIONS crystal
K 0.500 0.500 0.500
Zn 0.250 0.250 0.250
Zr 0.000 0.000 0.000
Zr 0.750 0.750 0.750
CELL_PARAMETERS angstrom
5.103 0.000 0.000
2.552 4.419 0.000
2.552 1.473 4.167
! calculated volume = 23.5 A^3/atom
! calculated formation energy = 0.877 eV per atom
! theoretical density = 5.071 Mg/m³

---

! KZrZn4 (GGA-PBEsol, relaxed); values from VASP
&SYSTEM
  ibrav = 0, nat = 6, ntyp = 3
/
ATOMIC_SPECIES
K 39.10 K.upf
Zn 65.41 Zn.upf
Zr 91.22 Zr.upf
ATOMIC_POSITIONS crystal
K 0.000 0.000 0.000
Zn 0.377 0.377 0.377
Zn 0.377 0.377 0.868
Zn 0.868 0.377 0.377
Zn 0.377 0.868 0.377
Zr 0.750 0.750 0.750
CELL_PARAMETERS angstrom
-1.561 5.068 0.628
-3.363 2.212 -3.509
-5.027 1.087 1.439
! calculated volume = 18.0 A^3/atom
! calculated formation energy = 0.178 eV per atom
! theoretical density = 6.043 Mg/m³

---

! K2ZrZn (GGA-PBEsol, relaxed); values from VASP
&SYSTEM
  ibrav = 0, nat = 4, ntyp = 3
/
ATOMIC_SPECIES
K 39.10 K.upf
Zn 65.41 Zn.upf
Zr 91.22 Zr.upf
ATOMIC_POSITIONS crystal
K 0.651 0.648 0.301
K 0.349 0.352 0.699
Zn 0.000 0.500 0.000
Zr 0.500 0.000 0.000
CELL_PARAMETERS angstrom
-1.513 2.022 -2.008
1.173 -2.563 -3.464
-8.402 -5.105 3.782
! calculated volume = 36.6 A^3/atom
! calculated formation energy = 0.434 eV per atom
! theoretical density = 2.660 Mg/m³